Compound: TbScAg2Se4
Source: Alexandria via LeMat-Bulk
Functional: PBE
Structure: relaxed

Lattice parameters (Å, degrees): 4.081 7.009 7.062 68.76 90.00 90.00
Sites, in units of the cell vectors:
Tb1 0.500 0.500 0.000
Sc1 0.000 0.500 0.500
Ag1 0.000 0.000 0.000
Ag2 0.500 0.000 0.500
Se1 0.000 0.740 0.735
Se2 0.000 0.260 0.265
Se3 0.500 0.737 0.259
Se4 0.500 0.263 0.741

Results
* formation energy from raw total energies: -1094 meV/atom
* magnetization: 0.00 Bohr magnetons per cell
* electronic total energy: -4.920 eV per atom
* space-group type: P2/m